Entry 1:
## CrFeTe4 (PBE-GGA)

Data for a geometry-optimized CrFeTe4 structure.

a = 6.282 Å, b = 6.282 Å, c = 6.282 Å
α = 60.00°, β = 60.00°, γ = 60.00°
Each line ends with the local moment (μB).
Positions (direct):
Te 0.375 0.875 0.375  0.03
Fe 0.000 0.000 0.000  3.26
Cr 0.750 0.750 0.750  4.20
Te 0.375 0.375 0.375  0.03
Te 0.375 0.375 0.875  0.03
Te 0.875 0.375 0.375  0.03

Properties
The value obtained for the total energy is -4.001 eV/atom. As for the formation energy (no corrections): 1.108 eV/atom. For the total magnetization, the calculation gives 8.6 μB per cell.

---

Entry 2:
## Pa3Sb2Se (PBE-GGA)

Data for a geometry-optimized Pa3Sb2Se structure.

a = 4.273 Å, b = 6.035 Å, c = 7.381 Å
α = 114.13°, β = 106.83°, γ = 90.00°
Each line ends with the local moment (μB).
Positions (direct):
Se 0.000 0.500 0.000  -0.01
Sb 0.675 0.175 0.350  -0.01
Pa 0.649 0.649 0.299  0.18
Pa 0.000 0.000 0.000  0.46
Pa 0.351 0.351 0.701  0.18
Sb 0.325 0.825 0.650  -0.01

Properties
The value obtained for the total energy is -7.379 eV/atom. As for the formation energy (no corrections): -0.676 eV/atom. For the total magnetization, the calculation gives 0.9 μB per cell.

---

Entry 3:
## AlPt2Br (PBE-GGA)

Data for a geometry-optimized AlPt2Br structure.

a = 9.386 Å, b = 9.386 Å, c = 9.386 Å
α = 18.92°, β = 18.92°, γ = 18.92°
Positions (direct):
Pt 0.984 0.984 0.984
Pt 0.236 0.236 0.236
Al 0.506 0.506 0.506
Br 0.774 0.774 0.774

Properties
The value obtained for the total energy is -4.455 eV/atom. As for the formation energy (no corrections): -0.081 eV/atom. For the total magnetization, the calculation gives 0.0 μB per cell.

---

Entry 4:
## DyPuAu2 (PBE-GGA)

Data for a geometry-optimized DyPuAu2 structure.

a = 5.126 Å, b = 5.126 Å, c = 5.126 Å
α = 60.00°, β = 60.00°, γ = 60.00°
Each line ends with the local moment (μB).
Positions (direct):
Dy 0.000 0.000 0.000  0.12
Au 0.250 0.250 0.250  0.01
Au 0.750 0.750 0.750  0.01
Pu 0.500 0.500 0.500  5.32

Properties
The formation energy is -0.60 eV/atom. The value obtained for the total energy is -6.970 eV/atom. For the total magnetization, the calculation gives 5.7 μB per cell.

---

Entry 5:
## LaBMoRh2 (PBE-GGA)

Data for a geometry-optimized LaBMoRh2 structure.

a = 4.646 Å, b = 4.646 Å, c = 5.539 Å
α = 90.00°, β = 90.00°, γ = 90.00°
Positions (direct):
Rh 0.500 0.000 0.000
Mo 0.000 0.000 0.000
Rh 0.000 0.500 0.000
B 0.500 0.500 0.500
La 0.000 0.000 0.500

Properties
The formation energy is 1.43 eV/atom. The value obtained for the total energy is -5.998 eV/atom. For the total magnetization, the calculation gives 0.0 μB per cell.

---

Entry 6:
## NaFeCoAs2 (PBE-GGA)

Data for a geometry-optimized NaFeCoAs2 structure.

a = 3.828 Å, b = 3.828 Å, c = 6.500 Å
α = 107.12°, β = 107.12°, γ = 90.00°
Positions (direct):
As 0.359 0.359 0.718
Co 0.750 0.250 0.500
Na 0.000 0.000 0.000
As 0.641 0.641 0.282
Fe 0.250 0.750 0.500

Properties
The formation energy is -0.32 eV/atom. The value obtained for the total energy is -5.556 eV/atom. For the total magnetization, the calculation gives 0.0 μB per cell.

---

Entry 7:
## Ce2SmCuN4 (PBE-GGA)

Data for a geometry-optimized Ce2SmCuN4 structure.

a = 3.525 Å, b = 6.001 Å, c = 11.646 Å
α = 90.00°, β = 90.00°, γ = 107.08°
Positions (direct):
Ce 0.631 0.262 0.057
Ce 0.369 0.738 0.557
N 0.266 0.533 0.385
N 0.000 0.000 0.000
Sm 0.104 0.209 0.750
N 0.734 0.467 0.885
Sm 0.896 0.791 0.250
Cu 0.159 0.318 0.250
Cu 0.841 0.682 0.750
N 0.266 0.533 0.115
N 0.000 0.000 0.500
N 0.546 0.093 0.250
N 0.734 0.467 0.615
Ce 0.369 0.738 0.943
N 0.454 0.907 0.750
Ce 0.631 0.262 0.443

Properties
The value obtained for the total energy is -7.858 eV/atom. As for the formation energy (no corrections): -1.110 eV/atom. For the total magnetization, the calculation gives 0.0 μB per cell.

---

Entry 8:
## PmTm2Zn5 (PBE-GGA)

Data for a geometry-optimized PmTm2Zn5 structure.

a = 4.848 Å, b = 4.848 Å, c = 7.789 Å
α = 108.13°, β = 108.13°, γ = 90.00°
Positions (direct):
Tm 0.733 0.733 0.466
Zn 0.879 0.379 0.758
Zn 0.500 0.500 0.000
Tm 0.267 0.267 0.534
Pm 0.000 0.000 0.000
Zn 0.621 0.121 0.242
Zn 0.121 0.621 0.242
Zn 0.379 0.879 0.758

Properties
The formation energy is -0.31 eV/atom. The value obtained for the total energy is -2.819 eV/atom. For the total magnetization, the calculation gives 0.0 μB per cell.

---

Entry 9:
## Tb5Tm3H12 (PBE-GGA)

Data for a geometry-optimized Tb5Tm3H12 structure.

a = 11.269 Å, b = 11.269 Å, c = 11.269 Å
α = 109.47°, β = 109.47°, γ = 109.47°
Positions (direct):
H 0.932 0.342 0.275
H 0.842 0.567 0.910
Tm 0.750 0.375 0.125
H 0.775 0.343 0.933
Tb 0.000 0.500 0.000
Tm 0.875 0.750 0.125
Tm 0.250 0.125 0.375
Tb 0.250 0.875 0.125
Tm 0.625 0.375 0.750
Tb 0.000 0.000 0.000
H 0.067 0.157 0.225
Tm 0.375 0.625 0.250
H 0.568 0.225 0.158
H 0.225 0.568 0.658
Tb 0.375 0.250 0.125
Tb 0.625 0.875 0.250
H 0.657 0.225 0.567
H 0.410 0.068 0.343
H 0.658 0.068 0.225
H 0.410 0.342 0.567
Tb 0.000 0.000 0.500
H 0.343 0.568 0.410
Tb 0.125 0.375 0.250
Tb 0.875 0.625 0.750
H 0.090 0.157 0.432
H 0.568 0.343 0.910
H 0.910 0.843 0.568
H 0.657 0.432 0.590
Tm 0.375 0.750 0.625
H 0.225 0.657 0.067
Tb 0.750 0.125 0.875
Tb 0.500 0.000 0.000
Tb 0.500 0.000 0.500
H 0.933 0.843 0.775
H 0.090 0.933 0.158
H 0.433 0.158 0.590
H 0.067 0.910 0.342
Tm 0.750 0.875 0.625
H 0.590 0.932 0.657
Tb 0.000 0.500 0.500
Tb 0.500 0.500 0.000
H 0.068 0.658 0.725
H 0.775 0.432 0.342
H 0.275 0.842 0.932
Tm 0.625 0.250 0.375
H 0.432 0.775 0.842
H 0.342 0.410 0.067
Tm 0.875 0.125 0.250
H 0.158 0.433 0.090
H 0.843 0.933 0.275
H 0.433 0.275 0.343
Tb 0.875 0.250 0.625
H 0.343 0.775 0.433
Tb 0.625 0.750 0.875
H 0.725 0.567 0.157
Tb 0.750 0.625 0.375
Tb 0.500 0.500 0.500
H 0.658 0.590 0.933
Tm 0.125 0.250 0.875
H 0.842 0.275 0.432
H 0.567 0.725 0.657
Tb 0.125 0.750 0.375
H 0.910 0.067 0.842
H 0.933 0.090 0.658
H 0.342 0.932 0.775
H 0.932 0.590 0.157
H 0.157 0.090 0.932
H 0.275 0.433 0.843
H 0.590 0.658 0.433
Tm 0.250 0.625 0.875
Tm 0.125 0.875 0.750
Tb 0.250 0.375 0.625
H 0.843 0.910 0.068
H 0.567 0.842 0.410
H 0.725 0.158 0.068
H 0.158 0.725 0.568
H 0.068 0.410 0.843
H 0.157 0.067 0.725
H 0.432 0.657 0.090
Tb 0.375 0.125 0.750

Properties
The value obtained for the total energy is -4.301 eV/atom. For the total magnetization, the calculation gives 0.0 μB per cell.

---

Entry 10:
## ErRuC (PBE-GGA)

Data for a geometry-optimized ErRuC structure.

a = 3.939 Å, b = 4.887 Å, c = 6.019 Å
α = 66.05°, β = 71.06°, γ = 90.00°
Positions (direct):
Er 0.391 0.144 0.713
C 0.366 0.617 0.767
Ru 0.836 0.587 0.827
C 0.634 0.383 0.233
Er 0.609 0.856 0.287
Ru 0.164 0.413 0.173

Properties
The formation energy is -0.23 eV/atom. The value obtained for the total energy is -7.918 eV/atom. For the total magnetization, the calculation gives 0.0 μB per cell.

---

Entry 11:
## Mn2VInSi (PBE-GGA)

Data for a geometry-optimized Mn2VInSi structure.

a = 4.408 Å, b = 5.191 Å, c = 4.408 Å
α = 90.00°, β = 90.00°, γ = 90.00°
Each line ends with the local moment (μB).
Positions (direct):
Mn 0.500 0.000 0.000  3.16
In 0.000 0.500 0.000  -0.01
Mn 0.000 0.000 0.500  2.88
V 0.000 0.000 0.000  -1.68
Si 0.500 0.500 0.500  -0.03

Properties
The value obtained for the total energy is -6.024 eV/atom. As for the formation energy (no corrections): 1.099 eV/atom. For the total magnetization, the calculation gives 4.5 μB per cell.

---

Entry 12:
## Nd6Sn2BiSe3 (PBE-GGA)

Data for a geometry-optimized Nd6Sn2BiSe3 structure.

a = 4.417 Å, b = 8.812 Å, c = 9.841 Å
α = 102.50°, β = 102.97°, γ = 90.00°
Positions (direct):
Se 0.500 0.500 0.000
Nd 0.335 0.412 0.670
Nd 0.671 0.083 0.341
Bi 0.500 0.000 0.000
Nd 0.665 0.588 0.330
Nd 0.000 0.260 0.000
Nd 0.000 0.740 0.000
Se 0.834 0.166 0.669
Nd 0.329 0.917 0.659
Sn 0.833 0.666 0.666
Se 0.166 0.834 0.331
Sn 0.167 0.334 0.334

Properties
The value obtained for the total energy is -5.565 eV/atom. As for the formation energy (no corrections): -1.319 eV/atom. For the total magnetization, the calculation gives 0.0 μB per cell.

---

What is the total energy in the seventh record?
-7.858 eV/atom

---

What is the total energy in the twelfth record?
-5.565 eV/atom

---

The highest total energy belongs to which entry?
PmTm2Zn5